Record 1
The following is a PBE-GGA calculation of an optimized crystal structure of SrAc9La2, from the Alexandria database.

```
data_SrAc9La2
_space_group_name_H-M_alt 'P 1'
_space_group_IT_number 1
_cell_length_a 5.610
_cell_length_b 5.610
_cell_length_c 16.832
_cell_angle_alpha 90.00
_cell_angle_beta 90.00
_cell_angle_gamma 90.00
loop_
_space_group_symop_operation_xyz
'x,y,z'
loop_
_atom_site_label
_atom_site_fract_x
_atom_site_fract_y
_atom_site_fract_z
Sr1 0.000 0.000 0.000
Ac1 0.000 0.500 0.174
Ac2 0.000 0.500 0.500
Ac3 0.000 0.500 0.826
Ac4 0.500 0.000 0.174
Ac5 0.500 0.000 0.500
Ac6 0.500 0.000 0.826
Ac7 0.500 0.500 0.000
Ac8 0.500 0.500 0.336
Ac9 0.500 0.500 0.664
La1 0.000 0.000 0.335
La2 0.000 0.000 0.665
```

Properties
- space group = P4/mmm (123)
- formation energy (kJ/mol of atoms) = 3
- mass density (g/cm3) = 7.5


Record 2
The following is a PBE-GGA calculation of an optimized crystal structure of SrSi, from the Alexandria database.

```
data_SrSi
_space_group_name_H-M_alt 'P 1'
_space_group_IT_number 1
_cell_length_a 3.583
_cell_length_b 3.583
_cell_length_c 8.935
_cell_angle_alpha 90.00
_cell_angle_beta 90.00
_cell_angle_gamma 90.00
loop_
_space_group_symop_operation_xyz
'x,y,z'
loop_
_atom_site_label
_atom_site_fract_x
_atom_site_fract_y
_atom_site_fract_z
Sr1 0.250 0.250 0.204
Sr2 0.750 0.750 0.796
Si1 0.250 0.250 0.548
Si2 0.750 0.750 0.452
```

Properties
- formation energy without anion corrections (kJ per mole of atoms) = -6
- space group = P4/nmm (129)
- mass density (g/cm3) = 3.3


Record 3
The following is a PBE-GGA calculation of an optimized crystal structure of Rb2Nb2PbO7, from the Alexandria database.

```
data_Rb2Nb2PbO7
_space_group_name_H-M_alt 'P 1'
_space_group_IT_number 1
_cell_length_a 4.083
_cell_length_b 4.083
_cell_length_c 11.780
_cell_angle_alpha 99.79
_cell_angle_beta 99.79
_cell_angle_gamma 89.96
loop_
_space_group_symop_operation_xyz
'x,y,z'
loop_
_atom_site_label
_atom_site_fract_x
_atom_site_fract_y
_atom_site_fract_z
Rb1 0.194 0.194 0.382
Rb2 0.806 0.806 0.618
Nb1 0.395 0.395 0.813
Nb2 0.605 0.605 0.187
Pb1 0.000 0.000 0.000
O1 0.083 0.581 0.173
O2 0.327 0.327 0.649
O3 0.419 0.917 0.827
O4 0.500 0.500 0.000
O5 0.581 0.083 0.173
O6 0.673 0.673 0.351
O7 0.917 0.419 0.827
```

Properties
- formation energy without anion corrections (kJ per mole of atoms) = -210
- space group = C2/m (12)
- mass density (g/cm3) = 5.9


Record 4
The following is a PBE-GGA calculation of an optimized crystal structure of ReNiIr2, from the Alexandria database.

```
data_ReNiIr2
_space_group_name_H-M_alt 'P 1'
_space_group_IT_number 1
_cell_length_a 4.305
_cell_length_b 4.305
_cell_length_c 4.305
_cell_angle_alpha 60.00
_cell_angle_beta 60.00
_cell_angle_gamma 60.00
loop_
_space_group_symop_operation_xyz
'x,y,z'
loop_
_atom_site_label
_atom_site_fract_x
_atom_site_fract_y
_atom_site_fract_z
Re1 0.000 0.000 0.000
Ni1 0.250 0.250 0.250
Ir1 0.500 0.500 0.500
Ir2 0.750 0.750 0.750
```

Properties
- space group = F-43m (216)
- formation energy (kJ/mol of atoms) = 32
- mass density (g/cm3) = 18.5


Record 5
The following is a PBE-GGA calculation of an optimized crystal structure of AcTlRe2O8, from the Alexandria database.

```
data_AcTlRe2O8
_space_group_name_H-M_alt 'P 1'
_space_group_IT_number 1
_cell_length_a 6.272
_cell_length_b 6.272
_cell_length_c 7.974
_cell_angle_alpha 90.00
_cell_angle_beta 90.00
_cell_angle_gamma 120.00
loop_
_space_group_symop_operation_xyz
'x,y,z'
loop_
_atom_site_label
_atom_site_fract_x
_atom_site_fract_y
_atom_site_fract_z
Ac1 0.000 0.000 0.000
Tl1 0.000 0.000 0.500
Re1 0.333 0.667 0.277
Re2 0.667 0.333 0.723
O1 0.176 0.353 0.198
O2 0.178 0.824 0.198
O3 0.333 0.667 0.498
O4 0.353 0.178 0.802
O5 0.647 0.822 0.198
O6 0.667 0.333 0.502
O7 0.822 0.176 0.802
O8 0.824 0.647 0.802
```

Properties
- formation energy without anion corrections (kJ per mole of atoms) = -176
- space group = P-3 (147)
- mass density (g/cm3) = 5.7


Record 6
The following is a PBE-GGA calculation of an optimized crystal structure of SrAsW2, from the Alexandria database.

```
data_SrAsW2
_space_group_name_H-M_alt 'P 1'
_space_group_IT_number 1
_cell_length_a 3.395
_cell_length_b 3.395
_cell_length_c 7.309
_cell_angle_alpha 90.00
_cell_angle_beta 90.00
_cell_angle_gamma 90.00
loop_
_space_group_symop_operation_xyz
'x,y,z'
loop_
_atom_site_label
_atom_site_fract_x
_atom_site_fract_y
_atom_site_fract_z
Sr1 0.000 0.000 0.000
As1 0.000 0.000 0.500
W1 0.500 0.500 0.333
W2 0.500 0.500 0.667
```

Properties
- space group = P4/mmm (123)
- formation energy (kJ/mol of atoms) = 75
- mass density (g/cm3) = 10.5


| no. | E (hartree per atom) |
| --- | --- |
| 1 | -0.147 |
| 2 | -0.133 |
| 3 | -0.265 |
| 4 | -0.318 |
| 5 | -0.284 |
| 6 | -0.268 |